[1]
The following is a DFT calculation (PBE) of a geometry-optimized NaMgZrS3 structure.

```
NaMgZrS3
1.0
1.914 -6.661 0.000
1.914 6.661 0.000
0.000 0.000 10.235
Mg S Zr Na
2 6 2 2
Cartesian
1.914 -6.194 7.676
1.914 6.194 2.559
1.914 4.911 0.558
1.914 -4.911 5.675
1.914 -1.000 7.676
1.914 1.000 2.559
1.914 -4.911 9.677
1.914 4.911 4.560
1.914 0.000 0.000
1.914 0.000 5.117
1.914 3.410 7.676
1.914 -3.410 2.559
```

Uncorrected energy   -62.69 eV/cell

[2]
The following is a DFT calculation (PBE) of a geometry-optimized Dy3Nb2Re3N12 structure.

```
Dy3Nb2Re3N12
1.0
-6.384 6.384 6.384
6.384 -6.384 6.384
6.384 6.384 -6.384
N Re Dy Nb
48 12 12 8
Cartesian
3.611 -1.243 3.900
7.092 4.435 0.419
9.995 -1.243 2.484
3.900 3.611 -1.243
2.484 2.772 7.627
1.948 0.419 5.675
5.964 5.675 -1.948
5.675 -1.948 5.964
6.803 5.675 4.435
7.627 -2.484 3.611
8.332 0.419 0.708
4.435 5.964 0.708
4.435 6.803 5.675
-1.243 3.900 3.611
2.484 9.995 -1.243
2.484 3.611 1.243
-0.419 0.708 1.948
5.675 1.948 0.419
0.708 4.435 5.964
0.419 0.708 8.332
5.964 -0.708 1.948
1.948 5.964 -0.708
3.900 -3.611 7.627
1.948 -0.419 0.708
-1.948 5.964 5.675
3.611 7.627 -2.484
4.435 0.419 7.092
-1.243 8.867 2.772
2.772 5.140 3.900
7.627 2.484 2.772
0.708 1.948 -0.419
1.243 2.484 3.611
0.419 5.675 1.948
-3.611 7.627 3.900
0.419 7.092 4.435
3.900 2.772 5.140
5.140 3.900 2.772
8.867 2.772 -1.243
0.708 8.332 0.419
3.611 1.243 2.484
2.772 7.627 2.484
5.964 0.708 4.435
-0.708 1.948 5.964
5.675 4.435 6.803
2.772 -1.243 8.867
-1.243 2.484 9.995
-2.484 3.611 7.627
7.627 3.900 -3.611
-3.192 4.788 6.384
1.596 6.384 3.192
3.192 1.596 6.384
3.192 4.788 0.000
1.596 0.000 9.575
6.384 -3.192 4.788
4.788 0.000 3.192
0.000 3.192 4.788
9.575 1.596 0.000
6.384 3.192 1.596
4.788 6.384 -3.192
0.000 9.575 1.596
4.788 6.384 3.192
0.000 3.192 7.979
3.192 -1.596 6.384
6.384 3.192 4.788
3.192 7.979 0.000
1.596 0.000 3.192
3.192 1.596 0.000
-1.596 6.384 3.192
6.384 3.192 -1.596
7.979 0.000 3.192
0.000 3.192 1.596
3.192 4.788 6.384
3.192 3.192 -3.192
6.384 0.000 0.000
0.000 0.000 6.384
0.000 0.000 0.000
3.192 -3.192 3.192
0.000 6.384 0.000
3.192 3.192 3.192
-3.192 3.192 3.192
```

Uncorrected energy   -742.52 eV/cell

[3]
The following is a DFT calculation (PBE) of a geometry-optimized GdNiB4 structure.

```
GdNiB4
1.0
3.193 0.000 0.000
-1.596 2.765 0.000
0.000 0.000 6.531
B Gd Ni
4 1 1
Cartesian
0.000 1.843 1.946
0.000 1.843 4.585
1.596 0.922 1.946
1.596 0.922 4.585
0.000 0.000 0.000
0.000 0.000 3.266
```

Uncorrected energy   -38.45 eV/cell

[4]
The following is a DFT calculation (PBE) of a geometry-optimized KHfGa structure.

```
KHfGa
1.0
4.914 -0.046 0.170
2.326 -3.061 3.067
2.486 -3.849 -1.785
Ga K Hf
1 1 1
Cartesian
2.432 -1.739 0.363
0.000 0.000 0.000
7.295 -5.217 1.089
```

Uncorrected energy   -9.36 eV/cell